Entry 1
Compound: Zr3Cu4Sn4
Source: the Open Quantum Materials Database
Functional: GGA-PBE
Structure: relaxed

Lattice parameters (Å, degrees): 6.179 6.179 7.565 65.90 65.90 90.00
Element x y z (fractional)
1 Zr 0.250 0.750 0.500
2 Cu 0.373 0.373 0.753
3 Sn 0.000 0.500 0.000
4 Sn 0.756 0.756 0.487
5 Sn 0.500 0.000 0.000
6 Zr 0.750 0.250 0.500
7 Sn 0.244 0.244 0.513
8 Cu 0.126 0.627 0.247
9 Cu 0.627 0.126 0.247
10 Zr 0.500 0.500 0.000
11 Cu 0.874 0.874 0.753

Properties
The calculated volume is 235.8 Å³ per cell.


Entry 2
Compound: Zr3Cu4Sn4
Source: the Open Quantum Materials Database
Functional: GGA-PBE
Structure: relaxed

Lattice parameters (Å, degrees): 6.460 4.383 7.720 90.00 90.63 90.00
Element x y z (fractional)
1 Sn 0.768 0.750 0.908
2 Zr 0.000 0.750 0.241
3 Zr 0.502 0.250 0.728
4 Cu 0.235 0.250 0.411
5 Sn 0.242 0.250 0.067
6 Zr 0.495 0.750 0.264
7 Cu 0.692 0.250 0.079
8 Sn 0.771 0.250 0.414
9 Sn 0.206 0.750 0.593
10 Cu 0.318 0.750 0.913
11 Cu 0.769 0.750 0.581

Properties
The calculated volume is 218.6 Å³ per cell.


Stability ranking, top and bottom: entry 1 is the most stable and entry 2 is the least stable.


Entry 1
Compound: TaCu2Te2
Source: the Open Quantum Materials Database
Functional: GGA-PBE
Structure: relaxed

Lattice parameters (Å, degrees): 5.106 5.106 5.247 119.11 119.11 90.00
Each line ends with the local moment (μB).
Element x y z (fractional)
1 Te 0.250 0.750 0.500  -0.02
2 Ta 0.000 0.000 0.000  0.62
3 Cu 0.347 0.347 0.695  0.02
4 Cu 0.653 0.653 0.305  0.02
5 Te 0.750 0.250 0.500  -0.02

Properties
The calculated volume is 99.3 Å³ per cell.


Entry 2
Compound: TaCu2Te2
Source: the Open Quantum Materials Database
Functional: GGA-PBE
Structure: relaxed

Lattice parameters (Å, degrees): 8.109 8.109 8.109 155.16 155.16 35.41
Element x y z (fractional)
1 Ta 0.000 0.000 0.000
2 Cu 0.250 0.750 0.500
3 Cu 0.750 0.250 0.500
4 Te 0.604 0.604 0.000
5 Te 0.396 0.396 0.000

Properties
The calculated volume is 94.0 Å³ per cell.


Stability ranking, top and bottom: entry 2 is the most stable and entry 1 is the least stable.


Entry 1
Compound: TaTlZnCu
Source: the Open Quantum Materials Database
Functional: GGA-PBE
Structure: relaxed

Lattice parameters (Å, degrees): 4.587 4.587 4.587 60.00 60.00 60.00
Element x y z (fractional)
1 Zn 0.250 0.250 0.250
2 Ta 0.500 0.500 0.500
3 Cu 0.750 0.750 0.750
4 Tl 0.000 0.000 0.000

Properties
The calculated volume is 68.3 Å³ per cell.


Entry 2
Compound: TaTlZnCu
Source: the Open Quantum Materials Database
Functional: GGA-PBE
Structure: relaxed

Lattice parameters (Å, degrees): 4.624 4.624 4.624 60.00 60.00 60.00
Element x y z (fractional)
1 Cu 0.750 0.750 0.750
2 Ta 0.250 0.250 0.250
3 Zn 0.500 0.500 0.500
4 Tl 0.000 0.000 0.000

Properties
The calculated volume is 69.9 Å³ per cell.


Stability ranking, top and bottom: entry 1 is the most stable and entry 2 is the least stable.


Entry 1
Compound: UTaCu
Source: the Open Quantum Materials Database
Functional: GGA-PBE
Structure: relaxed

Lattice parameters (Å, degrees): 4.456 4.456 4.456 60.00 60.00 60.00
Each line ends with the local moment (μB).
Element x y z (fractional)
1 Ta 0.500 0.500 0.500  0.01
2 U 0.250 0.250 0.250  0.06
3 Cu 0.000 0.000 0.000  0.00

Properties
The calculated volume is 62.6 Å³ per cell.


Entry 2
Compound: UTaCu
Source: the Open Quantum Materials Database
Functional: GGA-PBE
Structure: relaxed

Lattice parameters (Å, degrees): 4.397 4.397 4.397 60.00 60.00 60.00
Element x y z (fractional)
1 Ta 0.250 0.250 0.250
2 Cu 0.000 0.000 0.000
3 U 0.750 0.750 0.750

Properties
The calculated volume is 60.1 Å³ per cell.


Stability ranking, top and bottom: entry 2 is the most stable and entry 1 is the least stable.


Entry 1
Compound: TaZn2Cu
Source: the Open Quantum Materials Database
Functional: GGA-PBE
Structure: relaxed

Lattice parameters (Å, degrees): 4.356 4.356 4.356 60.00 60.00 60.00
Element x y z (fractional)
1 Ta 0.500 0.500 0.500
2 Cu 0.250 0.250 0.250
3 Zn 0.750 0.750 0.750
4 Zn 0.000 0.000 0.000

Properties
The calculated volume is 58.5 Å³ per cell.


Entry 2
Compound: TaZn2Cu
Source: the Open Quantum Materials Database
Functional: GGA-PBE
Structure: relaxed

Lattice parameters (Å, degrees): 4.354 4.354 4.354 60.00 60.00 60.00
Element x y z (fractional)
1 Ta 0.250 0.250 0.250
2 Cu 0.750 0.750 0.750
3 Zn 0.000 0.000 0.000
4 Zn 0.500 0.500 0.500

Properties
The calculated volume is 58.3 Å³ per cell.


Stability ranking, top and bottom: entry 1 is the most stable and entry 2 is the least stable.


Entry 1
Compound: TbTlCu3Te4
Source: the Open Quantum Materials Database
Functional: GGA-PBE
Structure: relaxed

Lattice parameters (Å, degrees): 6.311 8.018 10.510 90.00 104.67 90.00
Element x y z (fractional)
1 Cu 0.302 0.530 0.998
2 Tb 0.129 0.250 0.775
3 Cu 0.698 0.030 0.002
4 Te 0.984 0.750 0.967
5 Te 0.016 0.250 0.033
6 Te 0.725 0.250 0.570
7 Cu 0.340 0.750 0.189
8 Te 0.574 0.032 0.225
9 Te 0.275 0.750 0.430
10 Te 0.574 0.468 0.225
11 Te 0.426 0.968 0.775
12 Te 0.426 0.532 0.775
13 Tb 0.871 0.750 0.225
14 Cu 0.698 0.470 0.002
15 Cu 0.302 0.970 0.998
16 Tl 0.823 0.750 0.601
17 Cu 0.660 0.250 0.811
18 Tl 0.177 0.250 0.399

Properties
The calculated volume is 514.5 Å³ per cell.


Entry 2
Compound: TbTlCu3Te4
Source: the Open Quantum Materials Database
Functional: GGA-PBE
Structure: relaxed

Lattice parameters (Å, degrees): 6.598 6.598 6.598 90.00 90.00 90.00
Element x y z (fractional)
1 Te 0.255 0.255 0.255
2 Cu 0.500 0.000 0.500
3 Te 0.745 0.745 0.255
4 Tl 0.000 0.000 0.000
5 Cu 0.500 0.500 0.000
6 Te 0.745 0.255 0.745
7 Tb 0.500 0.500 0.500
8 Cu 0.000 0.500 0.500
9 Te 0.255 0.745 0.745

Properties
The calculated volume is 287.2 Å³ per cell.


Stability ranking, top and bottom: entry 1 is the most stable and entry 2 is the least stable.


Entry 1
Compound: ZrCuTcTe
Source: the Open Quantum Materials Database
Functional: GGA-PBE
Structure: relaxed

Lattice parameters (Å, degrees): 4.620 4.620 4.620 60.00 60.00 60.00
Element x y z (fractional)
1 Cu 0.750 0.750 0.750
2 Te 0.250 0.250 0.250
3 Zr 0.000 0.000 0.000
4 Tc 0.500 0.500 0.500

Properties
The calculated volume is 69.7 Å³ per cell.


Entry 2
Compound: ZrCuTcTe
Source: the Open Quantum Materials Database
Functional: GGA-PBE
Structure: relaxed

Lattice parameters (Å, degrees): 4.631 4.631 4.631 60.00 60.00 60.00
Element x y z (fractional)
1 Zr 0.000 0.000 0.000
2 Te 0.500 0.500 0.500
3 Tc 0.250 0.250 0.250
4 Cu 0.750 0.750 0.750

Properties
The calculated volume is 70.2 Å³ per cell.


Stability ranking, top and bottom: entry 2 is the most stable and entry 1 is the least stable.


Entry 1
Compound: UCuTc
Source: the Open Quantum Materials Database
Functional: GGA-PBE
Structure: relaxed

Lattice parameters (Å, degrees): 4.286 4.286 4.286 60.00 60.00 60.00
Element x y z (fractional)
1 Tc 0.250 0.250 0.250
2 U 0.750 0.750 0.750
3 Cu 0.000 0.000 0.000

Properties
The calculated volume is 55.7 Å³ per cell.


Entry 2
Compound: UCuTc
Source: the Open Quantum Materials Database
Functional: GGA-PBE
Structure: relaxed

Lattice parameters (Å, degrees): 4.359 4.359 4.359 60.00 60.00 60.00
Element x y z (fractional)
1 Tc 0.750 0.750 0.750
2 U 0.000 0.000 0.000
3 Cu 0.250 0.250 0.250

Properties
The calculated volume is 58.6 Å³ per cell.


Stability ranking, top and bottom: entry 1 is the most stable and entry 2 is the least stable.


Entry 1
Compound: ZrCuTcW
Source: the Open Quantum Materials Database
Functional: GGA-PBE
Structure: relaxed

Lattice parameters (Å, degrees): 4.489 4.489 4.489 60.00 60.00 60.00
Element x y z (fractional)
1 Cu 0.750 0.750 0.750
2 Zr 0.000 0.000 0.000
3 Tc 0.500 0.500 0.500
4 W 0.250 0.250 0.250

Properties
The calculated volume is 64.0 Å³ per cell.


Entry 2
Compound: ZrCuTcW
Source: the Open Quantum Materials Database
Functional: GGA-PBE
Structure: relaxed

Lattice parameters (Å, degrees): 4.511 4.511 4.511 60.00 60.00 60.00
Element x y z (fractional)
1 Tc 0.250 0.250 0.250
2 Cu 0.750 0.750 0.750
3 Zr 0.000 0.000 0.000
4 W 0.500 0.500 0.500

Properties
The calculated volume is 64.9 Å³ per cell.


Stability ranking, top and bottom: entry 2 is the most stable and entry 1 is the least stable.


Entry 1
Compound: Cu4Te
Source: the Open Quantum Materials Database
Functional: GGA-PBE
Structure: relaxed

Lattice parameters (Å, degrees): 7.266 2.809 31.251 90.00 95.75 90.00
Element x y z (fractional)
1 Cu 0.324 0.250 0.338
2 Cu 0.869 0.250 0.297
3 Cu 0.409 0.750 0.471
4 Cu 0.498 0.250 0.605
5 Cu 0.131 0.750 0.703
6 Cu 0.228 0.250 0.414
7 Te 0.578 0.750 0.751
8 Cu 0.224 0.750 0.625
9 Cu 0.683 0.250 0.452
10 Cu 0.398 0.250 0.681
11 Cu 0.147 0.750 0.280
12 Cu 0.045 0.250 0.567
13 Te 0.874 0.750 0.219
14 Cu 0.602 0.750 0.319
15 Cu 0.772 0.750 0.586
16 Cu 0.591 0.250 0.529
17 Cu 0.954 0.250 0.644
18 Cu 0.046 0.750 0.356
19 Cu 0.136 0.250 0.490
20 Cu 0.853 0.250 0.720
21 Cu 0.955 0.750 0.433
22 Te 0.261 0.250 0.142
23 Te 0.422 0.250 0.249
24 Cu 0.502 0.750 0.395
25 Cu 0.317 0.750 0.548
26 Cu 0.776 0.250 0.375
27 Te 0.126 0.250 0.781
28 Cu 0.676 0.750 0.662
29 Cu 0.864 0.750 0.510
30 Te 0.739 0.750 0.858

Properties
The calculated volume is 634.6 Å³ per cell.


Entry 2
Compound: Cu4Te
Source: the Open Quantum Materials Database
Functional: GGA-PBE
Structure: relaxed

Lattice parameters (Å, degrees): 6.809 6.809 29.804 90.47 90.47 31.10
Element x y z (fractional)
1 Cu 0.257 0.257 0.607
2 Cu 0.362 0.362 0.426
3 Te 0.105 0.105 0.716
4 Cu 0.687 0.687 0.658
5 Cu 0.300 0.300 0.690
6 Cu 0.493 0.493 0.673
7 Cu 0.212 0.212 0.524
8 Cu 0.065 0.065 0.623
9 Cu 0.638 0.638 0.574
10 Te 0.895 0.895 0.284
11 Te 0.861 0.861 0.750
12 Cu 0.935 0.935 0.377
13 Cu 0.313 0.313 0.342
14 Cu 0.980 0.980 0.459
15 Cu 0.445 0.445 0.591
16 Cu 0.878 0.878 0.641
17 Cu 0.555 0.555 0.409
18 Cu 0.020 0.020 0.541
19 Cu 0.122 0.122 0.359
20 Cu 0.172 0.172 0.442
21 Te 0.298 0.298 0.190
22 Cu 0.700 0.700 0.310
23 Cu 0.507 0.507 0.327
24 Cu 0.788 0.788 0.476
25 Te 0.702 0.702 0.810
26 Cu 0.743 0.743 0.393
27 Cu 0.828 0.828 0.558
28 Cu 0.597 0.597 0.491
29 Te 0.139 0.139 0.250
30 Cu 0.403 0.403 0.509

Properties
The calculated volume is 713.7 Å³ per cell.


Entry 3
Compound: Cu4Te
Source: the Open Quantum Materials Database
Functional: GGA-PBE
Structure: relaxed

Lattice parameters (Å, degrees): 4.449 5.830 28.659 88.36 90.00 73.73
Element x y z (fractional)
1 Te 0.373 0.700 0.213
2 Cu 0.419 0.482 0.458
3 Cu 0.036 0.185 0.675
4 Cu 0.281 0.896 0.491
5 Cu 0.602 0.995 0.654
6 Cu 0.179 0.773 0.639
7 Cu 0.317 0.352 0.608
8 Cu 0.848 0.687 0.475
9 Cu 0.013 0.726 0.558
10 Te 0.795 0.003 0.240
11 Te 0.205 0.997 0.760
12 Cu 0.821 0.227 0.361
13 Cu 0.398 0.005 0.346
14 Cu 0.152 0.313 0.525
15 Cu 0.719 0.104 0.509
16 Te 0.121 0.334 0.286
17 Cu 0.743 0.557 0.625
18 Te 0.627 0.300 0.787
19 Cu 0.552 0.066 0.427
20 Cu 0.257 0.443 0.375
21 Cu 0.111 0.852 0.409
22 Cu 0.964 0.815 0.325
23 Cu 0.889 0.148 0.591
24 Cu 0.987 0.274 0.442
25 Te 0.879 0.666 0.714
26 Cu 0.540 0.600 0.305
27 Cu 0.683 0.648 0.392
28 Cu 0.460 0.400 0.695
29 Cu 0.581 0.518 0.542
30 Cu 0.448 0.934 0.573

Properties
The calculated volume is 713.3 Å³ per cell.


Stability ranking, top and bottom: entry 2 is the most stable and entry 1 is the least stable.